(one)
# CaAcNd4 PBE optimized geometry
# Size of the total moment, μB per formula unit: 0.00
# Space group: P2/m (10)
data_CaAcNd4
_symmetry_space_group_name_H-M 'P 1'
_symmetry_Int_Tables_number 1
_cell_length_a 3.7596
_cell_length_b 5.3262
_cell_length_c 11.2861
_cell_angle_alpha 90.00
_cell_angle_beta 90.07
_cell_angle_gamma 90.00
loop_
_symmetry_equiv_pos_as_xyz
'x,y,z'
loop_
_atom_site_label
_atom_site_fract_x
_atom_site_fract_y
_atom_site_fract_z
_atom_site_occupancy
Ca1 0.0000 0.0000 0.0000 1
Ac1 0.5000 0.5000 0.5000 1
Nd1 0.0008 0.0000 0.6693 1
Nd2 0.4986 0.5000 0.1726 1
Nd3 0.5014 0.5000 0.8274 1
Nd4 0.9992 0.0000 0.3307 1

***

(two)
# CaAcNd4 PBE optimized geometry
# Size of the total moment, μB per formula unit: 0.00
# Space group: F-43m (216)
data_CaAcNd4
_symmetry_space_group_name_H-M 'P 1'
_symmetry_Int_Tables_number 1
_cell_length_a 6.9308
_cell_length_b 6.9308
_cell_length_c 6.9308
_cell_angle_alpha 60.00
_cell_angle_beta 60.00
_cell_angle_gamma 60.00
loop_
_symmetry_equiv_pos_as_xyz
'x,y,z'
loop_
_atom_site_label
_atom_site_fract_x
_atom_site_fract_y
_atom_site_fract_z
_atom_site_occupancy
Ca1 0.0000 0.0000 0.0000 1
Ac1 0.7500 0.7500 0.7500 1
Nd1 0.3754 0.3754 0.3754 1
Nd2 0.3754 0.3754 0.8738 1
Nd3 0.3754 0.8738 0.3754 1
Nd4 0.8738 0.3754 0.3754 1

***

It is (one) that is most stable; the runner-up trails by 110 meV per atom.

***

(one)
# Ca2Ac7Nd2 PBE optimized geometry
# Size of the total moment, μB per formula unit: 0.00
# Space group: C2/m (12)
data_Ca2Ac7Nd2
_symmetry_space_group_name_H-M 'P 1'
_symmetry_Int_Tables_number 1
_cell_length_a 7.1043
_cell_length_b 7.1043
_cell_length_c 9.6277
_cell_angle_alpha 97.79
_cell_angle_beta 97.79
_cell_angle_gamma 93.53
loop_
_symmetry_equiv_pos_as_xyz
'x,y,z'
loop_
_atom_site_label
_atom_site_fract_x
_atom_site_fract_y
_atom_site_fract_z
_atom_site_occupancy
Ca1 0.0950 0.0950 0.3516 1
Ca2 0.9050 0.9050 0.6484 1
Ac1 0.0619 0.4304 0.7144 1
Ac2 0.3548 0.3548 0.0933 1
Ac3 0.4304 0.0619 0.7144 1
Ac4 0.5000 0.5000 0.5000 1
Ac5 0.5696 0.9381 0.2856 1
Ac6 0.6452 0.6452 0.9067 1
Ac7 0.9381 0.5696 0.2856 1
Nd1 0.1693 0.8307 0.0000 1
Nd2 0.8307 0.1693 0.0000 1

***

(two)
# Ca2Ac7Nd2 PBE optimized geometry
# Size of the total moment, μB per formula unit: 0.00
# Space group: Cmmm (65)
data_Ca2Ac7Nd2
_symmetry_space_group_name_H-M 'P 1'
_symmetry_Int_Tables_number 1
_cell_length_a 7.5041
_cell_length_b 7.5041
_cell_length_c 10.3534
_cell_angle_alpha 90.00
_cell_angle_beta 90.00
_cell_angle_gamma 121.71
loop_
_symmetry_equiv_pos_as_xyz
'x,y,z'
loop_
_atom_site_label
_atom_site_fract_x
_atom_site_fract_y
_atom_site_fract_z
_atom_site_occupancy
Ca1 0.2445 0.2445 0.0000 1
Ca2 0.7555 0.7555 0.0000 1
Ac1 0.0000 0.0000 0.5000 1
Ac2 0.0000 0.5000 0.1911 1
Ac3 0.0000 0.5000 0.8089 1
Ac4 0.5000 0.0000 0.1911 1
Ac5 0.5000 0.0000 0.8089 1
Ac6 0.5000 0.5000 0.3242 1
Ac7 0.5000 0.5000 0.6758 1
Nd1 0.2692 0.7308 0.5000 1
Nd2 0.7308 0.2692 0.5000 1

***

It is (one) that is most stable; the runner-up trails by 144 meV per atom.

***

(one)
# CaAcPmNd PBE optimized geometry
# Size of the total moment, μB per formula unit: 0.00
# Space group: P4mm (99)
data_CaAcPmNd
_symmetry_space_group_name_H-M 'P 1'
_symmetry_Int_Tables_number 1
_cell_length_a 3.8069
_cell_length_b 3.8069
_cell_length_c 10.7567
_cell_angle_alpha 90.00
_cell_angle_beta 90.00
_cell_angle_gamma 90.00
loop_
_symmetry_equiv_pos_as_xyz
'x,y,z'
loop_
_atom_site_label
_atom_site_fract_x
_atom_site_fract_y
_atom_site_fract_z
_atom_site_occupancy
Ca1 0.0000 0.0000 0.0000 1
Ac1 0.5000 0.5000 0.7238 1
Pm1 0.5000 0.5000 0.2514 1
Nd1 0.0000 0.0000 0.4733 1

***

(two)
# CaAcPmNd PBE optimized geometry
# Size of the total moment, μB per formula unit: 0.00
# Space group: F-43m (216)
data_CaAcPmNd
_symmetry_space_group_name_H-M 'P 1'
_symmetry_Int_Tables_number 1
_cell_length_a 6.0302
_cell_length_b 6.0302
_cell_length_c 6.0302
_cell_angle_alpha 60.00
_cell_angle_beta 60.00
_cell_angle_gamma 60.00
loop_
_symmetry_equiv_pos_as_xyz
'x,y,z'
loop_
_atom_site_label
_atom_site_fract_x
_atom_site_fract_y
_atom_site_fract_z
_atom_site_occupancy
Ca1 0.0000 0.0000 0.0000 1
Ac1 0.7500 0.7500 0.7500 1
Pm1 0.2500 0.2500 0.2500 1
Nd1 0.5000 0.5000 0.5000 1

***

It is (one) that is most stable; the runner-up trails by 76 meV per atom.

***

(one)
# SrCaAcNd PBE optimized geometry
# Size of the total moment, μB per formula unit: 0.00
# Space group: F-43m (216)
data_SrCaAcNd
_symmetry_space_group_name_H-M 'P 1'
_symmetry_Int_Tables_number 1
_cell_length_a 6.2305
_cell_length_b 6.2305
_cell_length_c 6.2305
_cell_angle_alpha 60.00
_cell_angle_beta 60.00
_cell_angle_gamma 60.00
loop_
_symmetry_equiv_pos_as_xyz
'x,y,z'
loop_
_atom_site_label
_atom_site_fract_x
_atom_site_fract_y
_atom_site_fract_z
_atom_site_occupancy
Sr1 0.0000 0.0000 0.0000 1
Ca1 0.2500 0.2500 0.2500 1
Ac1 0.7500 0.7500 0.7500 1
Nd1 0.5000 0.5000 0.5000 1

***

(two)
# SrCaAcNd PBE optimized geometry
# Size of the total moment, μB per formula unit: 0.00
# Space group: R3m (160)
data_SrCaAcNd
_symmetry_space_group_name_H-M 'P 1'
_symmetry_Int_Tables_number 1
_cell_length_a 13.1760
_cell_length_b 13.1760
_cell_length_c 13.1760
_cell_angle_alpha 17.15
_cell_angle_beta 17.15
_cell_angle_gamma 17.15
loop_
_symmetry_equiv_pos_as_xyz
'x,y,z'
loop_
_atom_site_label
_atom_site_fract_x
_atom_site_fract_y
_atom_site_fract_z
_atom_site_occupancy
Sr1 0.0000 0.0000 0.0000 1
Ca1 0.7541 0.7541 0.7541 1
Ac1 0.1728 0.1728 0.1728 1
Nd1 0.5824 0.5824 0.5824 1

***

It is (two) that is most stable; the runner-up trails by 63 meV per atom.